First-principles (PBE-GGA) data for a geometry-optimized LiTlCo2 structure, as listed in Alexandria via LeMat-Bulk.

a b c (Å): 8.8308 8.8308 8.8308
angles (deg): 18.92 18.92 18.92
Each line ends with the local moment (μB).
Element x y z (fractional)
1 Co 0.9973 0.9973 0.9973  1.51
2 Co 0.5027 0.5027 0.5027  1.51
3 Tl 0.7500 0.7500 0.7500  -0.05
4 Li 0.2500 0.2500 0.2500  -0.03

The calculation puts the formation energy at 270 kJ/mol of formula units. The value obtained for the uncorrected energy is -3.924 eV per atom. The calculation puts the mass density at 8.64 g/cm3. Its symmetry is No. 166. The magnetization is 2.74 Bohr magnetons per cell. Its volume is 15.82 A^3/atom.


First-principles (PBE-GGA) data for a geometry-optimized Ta2BiPbW structure, as listed in Alexandria via LeMat-Bulk.

a b c (Å): 5.0279 5.2795 5.0279
angles (deg): 90.00 90.00 90.00
Element x y z (fractional)
1 Ta 0.0000 0.0000 0.5000
2 Ta 0.5000 0.0000 0.0000
3 Pb 0.5000 0.5000 0.5000
4 Bi 0.0000 0.5000 0.0000
5 W 0.0000 0.0000 0.0000

The calculation puts the formation energy at 659 kJ/mol of formula units. The value obtained for the uncorrected energy is -7.484 eV per atom. The calculation puts the mass density at 11.97 g/cm3. Its symmetry is No. 123. The magnetization is 0.00 Bohr magnetons per cell. Its volume is 26.69 A^3/atom.